# Na2OsWSe PBE relaxed
# **ΔE_f (raw)**: 1522 meV per atom
# **Volume**: 23.78 Å³/atom
data_Na2OsWSe
_cell_length_a 5.095
_cell_length_b 5.095
_cell_length_c 4.581
_cell_angle_alpha 90.00
_cell_angle_beta 90.00
_cell_angle_gamma 90.00
_symmetry_space_group_name_H-M 'P 4/m m m'
_symmetry_Int_Tables_number 123
_symmetry_space_group_name_Hall '-P 4 2'
loop_
_atom_site_label
_atom_site_type_symbol
_atom_site_fract_x
_atom_site_fract_y
_atom_site_fract_z
Na1 Na 0.000 0.500 0.000
Os1 Os 0.000 0.000 0.500
W1 W 0.500 0.500 0.500
Se1 Se 0.000 0.000 0.000